VASP calculation (GGA-PBE) on crystalline CsKNa2In at its relaxed geometry.

Space group ... No. 123
Total DFT energy (no corrections) ... -1.44 eV per atom
Spin magnetization ... 0.00 μB per cell
E_form ... 0.15 eV per formula unit

Cell: 6.304 6.304 6.836 Å, 90.00 90.00 90.00°
Fractional positions:
Cs (0.500, 0.500, 0.500)
Na (0.000, 0.500, 0.000)
Na (0.500, 0.000, 0.000)
K (0.000, 0.000, 0.500)
In (0.000, 0.000, 0.000)